No. 1
The following is a GGA-PBE calculation of an optimized crystal structure of HgSbTe2Os, from the Alexandria database.

Cell: 5.405 5.405 5.072 Å, 90.00 90.00 90.00°
Fractional positions:
Hg1 0.000 0.000 0.000
Sb1 0.500 0.500 0.000
Te1 0.000 0.500 0.500
Te2 0.500 0.000 0.500
Os1 0.500 0.500 0.500

## Properties
Relative energy among the computed polymorphs ... 0 meV per atom
Formation energy (no corrections) ... 619 meV/atom



No. 2
The following is a GGA-PBE calculation of an optimized crystal structure of Al3C, from the Alexandria database.

Cell: 4.809 4.809 4.809 Å, 90.00 90.00 90.00°
Fractional positions:
Al1 0.000 0.250 0.500
Al2 0.000 0.750 0.500
Al3 0.250 0.500 0.000
Al4 0.500 0.000 0.250
Al5 0.500 0.000 0.750
Al6 0.750 0.500 0.000
C1 0.000 0.000 0.000
C2 0.500 0.500 0.500

## Properties
Relative energy among the computed polymorphs ... 1049 meV per atom
Formation energy ... 1.074 eV/atom



No. 3
The following is a GGA-PBE calculation of an optimized crystal structure of BaLi4Cu2, from the Alexandria database.

Cell: 8.289 8.289 4.358 Å, 90.00 90.00 149.50°
Fractional positions:
Ba1 0.000 0.000 0.000
Li1 0.188 0.812 0.500
Li2 0.318 0.682 0.000
Li3 0.682 0.318 0.000
Li4 0.812 0.188 0.500
Cu1 0.420 0.580 0.500
Cu2 0.580 0.420 0.500

## Properties
Formation energy ... 0.005 eV/atom



No. 4
The following is a GGA-PBE calculation of an optimized crystal structure of Zr2TaRe, from the Alexandria database.

Cell: 3.068 4.533 5.694 Å, 90.00 103.18 90.00°
Fractional positions:
Zr1 0.000 0.000 0.000
Zr2 0.290 0.500 0.725
Ta1 0.579 0.000 0.459
Re1 0.784 0.500 0.245

## Properties
Relative energy among the computed polymorphs ... 107 meV per atom
Formation energy ... -0.026 eV/atom



What did the second record say?
The following is a GGA-PBE calculation of an optimized crystal structure of Al3C, from the Alexandria database.

Cell: 4.809 4.809 4.809 Å, 90.00 90.00 90.00°
Fractional positions:
Al1 0.000 0.250 0.500
Al2 0.000 0.750 0.500
Al3 0.250 0.500 0.000
Al4 0.500 0.000 0.250
Al5 0.500 0.000 0.750
Al6 0.750 0.500 0.000
C1 0.000 0.000 0.000
C2 0.500 0.500 0.500

## Properties
Relative energy among the computed polymorphs ... 1049 meV per atom
Formation energy ... 1.074 eV/atom